Record 1
Material: SrCaZn2
Method: DFT, PBEsol
State: optimized geometry

Output
The total magnetization comes out at 0.000 μB per formula unit. Its crystal system is cubic. The calculation puts the raw total energy at -28.57 eV for the cell shown.

Cell lengths 7.137, 7.137, 7.137 Å; angles 90.00, 90.00, 90.00 degrees
Space group F-43m (No. 216)
Symmetry-distinct sites (fractional):
Sr 0.000 0.000 0.000
Ca 0.250 0.250 0.250
Zn 0.000 0.000 0.500
Zn 0.250 0.250 0.750

Record 2
Material: Sr2CaZn
Method: DFT, PBEsol
State: optimized geometry

Output
The total magnetization comes out at 0.000 μB per formula unit. Its crystal system is tetragonal. The calculation puts the raw total energy at -7.70 eV for the cell shown.

Cell lengths 3.881, 3.881, 9.724 Å; angles 90.00, 90.00, 90.00 degrees
Space group P4/mmm (No. 123)
Symmetry-distinct sites (fractional):
Sr 0.000 0.000 0.190
Ca 0.500 0.500 0.500
Zn 0.500 0.500 0.000

Record 3
Material: SrCaZn2
Method: DFT, PBEsol
State: optimized geometry

Output
The total magnetization comes out at 0.000 μB per formula unit. Its crystal system is tetragonal. The calculation puts the raw total energy at -7.42 eV for the cell shown.

Cell lengths 3.618, 3.618, 8.275 Å; angles 90.00, 90.00, 90.00 degrees
Space group P4mm (No. 99)
Symmetry-distinct sites (fractional):
Sr 0.000 0.000 0.000
Ca 0.500 0.500 0.607
Zn 0.000 0.000 0.390
Zn 0.500 0.500 0.241

Record 4
Material: SrCaZn2
Method: DFT, PBEsol
State: optimized geometry

Output
The total magnetization comes out at 0.000 μB per formula unit. Its crystal system is monoclinic. The calculation puts the raw total energy at -15.21 eV for the cell shown.

Cell lengths 11.822, 3.630, 5.271 Å; angles 90.00, 115.76, 90.00 degrees
Space group Cm (No. 8)
Symmetry-distinct sites (fractional):
Sr 0.000 0.000 0.000
Ca 0.302 0.500 0.307
Zn 0.066 0.500 0.564
Zn 0.235 0.000 0.740

Record 5
Material: Sr2CaZn
Method: DFT, PBEsol
State: optimized geometry

Output
The total magnetization comes out at 0.000 μB per formula unit. Its crystal system is tetragonal. The calculation puts the raw total energy at -7.71 eV for the cell shown.

Cell lengths 3.857, 3.857, 9.837 Å; angles 90.00, 90.00, 90.00 degrees
Space group P4mm (No. 99)
Symmetry-distinct sites (fractional):
Sr 0.000 0.000 0.000
Sr 0.500 0.500 0.335
Ca 0.500 0.500 0.695
Zn 0.000 0.000 0.532

Record 6
Material: Sr2CaZn
Method: DFT, PBEsol
State: optimized geometry

Output
The total magnetization comes out at 0.000 μB per formula unit. Its crystal system is orthorhombic. The calculation puts the raw total energy at -15.07 eV for the cell shown.

Cell lengths 3.931, 5.995, 12.511 Å; angles 90.00, 90.00, 90.00 degrees
Space group Imm2 (No. 44)
Symmetry-distinct sites (fractional):
Sr 0.000 0.000 0.000
Sr 0.000 0.500 0.196
Ca 0.000 0.000 0.389
Zn 0.000 0.500 0.703

Record 7
Material: Sr2CaZn2
Method: DFT, PBEsol
State: optimized geometry

Output
The total magnetization comes out at 0.000 μB per formula unit. Its crystal system is tetragonal. The calculation puts the raw total energy at -19.22 eV for the cell shown.

Cell lengths 8.110, 8.110, 4.805 Å; angles 90.00, 90.00, 90.00 degrees
Space group P4/mbm (No. 127)
Symmetry-distinct sites (fractional):
Sr 0.173 0.327 0.000
Ca 0.000 0.000 0.500
Zn 0.114 0.614 0.500

Record 8
Material: Sr3CaZn
Method: DFT, PBEsol
State: optimized geometry

Output
The total magnetization comes out at 2.797 μB per formula unit. Its crystal system is cubic. The calculation puts the raw total energy at -4.90 eV for the cell shown.

Cell lengths 6.610, 6.610, 6.610 Å; angles 90.00, 90.00, 90.00 degrees
Space group Pm-3m (No. 221)
Symmetry-distinct sites (fractional):
Sr 0.000 0.000 0.500
Ca 0.000 0.000 0.000
Zn 0.500 0.500 0.500

Record 9
Material: SrCaZn2
Method: DFT, PBEsol
State: optimized geometry

Output
The total magnetization comes out at 0.000 μB per formula unit. Its crystal system is tetragonal. The calculation puts the raw total energy at -7.78 eV for the cell shown.

Cell lengths 5.262, 5.262, 3.722 Å; angles 90.00, 90.00, 90.00 degrees
Space group P4/mmm (No. 123)
Symmetry-distinct sites (fractional):
Sr 0.000 0.000 0.000
Ca 0.500 0.500 0.000
Zn 0.000 0.500 0.500

Record 10
Material: SrCaZr
Method: DFT, PBEsol
State: optimized geometry

Output
The value obtained for the relative energy among the computed polymorphs is 0.000 eV per atom. The total magnetization comes out at 0.002 μB per formula unit. Its crystal system is trigonal. The calculation puts the raw total energy at -11.79 eV for the cell shown.

Cell lengths 3.5344, 3.5344, 9.0078 Å; angles 90.00, 90.00, 120.00 degrees
Space group P3m1 (No. 156)
Symmetry-distinct sites (fractional):
Sr 0.0000 0.0000 0.0000
Ca 0.6667 0.3333 0.3872
Zr 0.3333 0.6667 0.6856

Record 11
Material: SrCa4Zr
Method: DFT, PBEsol
State: optimized geometry

Output
The total magnetization comes out at 3.371 μB per formula unit. Its crystal system is cubic. The calculation puts the raw total energy at -66.06 eV for the cell shown.

Cell lengths 9.696, 9.696, 9.696 Å; angles 90.00, 90.00, 90.00 degrees
Space group F-43m (No. 216)
Symmetry-distinct sites (fractional):
Sr 0.000 0.000 0.000
Ca 0.123 0.123 0.623
Zr 0.250 0.250 0.250

Record 12
Material: SrCaZr4
Method: DFT, PBEsol
State: optimized geometry

Output
The total magnetization comes out at 0.002 μB per formula unit. Its crystal system is cubic. The calculation puts the raw total energy at -150.69 eV for the cell shown.

Cell lengths 8.693, 8.693, 8.693 Å; angles 90.00, 90.00, 90.00 degrees
Space group F-43m (No. 216)
Symmetry-distinct sites (fractional):
Sr 0.000 0.000 0.000
Ca 0.250 0.250 0.250
Zr 0.124 0.124 0.624

Record 13
Material: SrCaZr
Method: DFT, PBEsol
State: optimized geometry

Output
The value obtained for the relative energy among the computed polymorphs is 0.690 eV per atom. The total magnetization comes out at 3.477 μB per formula unit. Its crystal system is cubic. The calculation puts the raw total energy at -38.88 eV for the cell shown.

Cell lengths 7.995, 7.995, 7.995 Å; angles 90.00, 90.00, 90.00 degrees
Space group F-43m (No. 216)
Symmetry-distinct sites (fractional):
Sr 0.000 0.000 0.000
Ca 0.000 0.000 0.500
Zr 0.250 0.250 0.250

Record 14
Material: SrCaZr2
Method: DFT, PBEsol
State: optimized geometry

Output
The value obtained for the relative energy among the computed polymorphs is 0.290 eV per atom. The total magnetization comes out at 0.000 μB per formula unit. Its crystal system is tetragonal. The calculation puts the raw total energy at -39.76 eV for the cell shown.

Cell lengths 5.010, 5.010, 9.003 Å; angles 90.00, 90.00, 90.00 degrees
Space group I-4m2 (No. 119)
Symmetry-distinct sites (fractional):
Sr 0.000 0.000 0.000
Ca 0.000 0.500 0.750
Zr 0.000 0.000 0.500
Zr 0.000 0.500 0.250

Record 15
Material: Sr2CaZr
Method: DFT, PBEsol
State: optimized geometry

Output
The value obtained for the relative energy among the computed polymorphs is 0.167 eV per atom. The total magnetization comes out at 0.611 μB per formula unit. Its crystal system is cubic. The calculation puts the raw total energy at -51.23 eV for the cell shown.

Cell lengths 8.356, 8.356, 8.356 Å; angles 90.00, 90.00, 90.00 degrees
Space group Fm-3m (No. 225)
Symmetry-distinct sites (fractional):
Sr 0.250 0.250 0.250
Ca 0.000 0.000 0.000
Zr 0.000 0.000 0.500

Record 16
Material: Sr2CaZr
Method: DFT, PBEsol
State: optimized geometry

Output
The value obtained for the relative energy among the computed polymorphs is 0.000 eV per atom. The total magnetization comes out at 0.000 μB per formula unit. Its crystal system is tetragonal. The calculation puts the raw total energy at -13.48 eV for the cell shown.

Cell lengths 3.684, 3.684, 10.892 Å; angles 90.00, 90.00, 90.00 degrees
Space group P4mm (No. 99)
Symmetry-distinct sites (fractional):
Sr 0.000 0.000 0.000
Sr 0.500 0.500 0.301
Ca 0.500 0.500 0.719
Zr 0.000 0.000 0.520

Record 17
Material: Sr2CaZr
Method: DFT, PBEsol
State: optimized geometry

Output
The value obtained for the relative energy among the computed polymorphs is 0.139 eV per atom. The total magnetization comes out at 2.702 μB per formula unit. Its crystal system is tetragonal. The calculation puts the raw total energy at -25.84 eV for the cell shown.

Cell lengths 5.351, 5.351, 10.402 Å; angles 90.00, 90.00, 90.00 degrees
Space group I-4m2 (No. 119)
Symmetry-distinct sites (fractional):
Sr 0.000 0.000 0.000
Sr 0.000 0.500 0.250
Ca 0.000 0.500 0.750
Zr 0.000 0.000 0.500

Record 18
Material: SrCa2Zr
Method: DFT, PBEsol
State: optimized geometry

Output
The total magnetization comes out at 0.000 μB per formula unit. Its crystal system is tetragonal. The calculation puts the raw total energy at -13.97 eV for the cell shown.

Cell lengths 3.611, 3.611, 10.724 Å; angles 90.00, 90.00, 90.00 degrees
Space group P4/mmm (No. 123)
Symmetry-distinct sites (fractional):
Sr 0.000 0.000 0.000
Ca 0.500 0.500 0.292
Zr 0.000 0.000 0.500

Record 19
Material: SrCaZr2
Method: DFT, PBEsol
State: optimized geometry

Output
The value obtained for the relative energy among the computed polymorphs is 0.000 eV per atom. The total magnetization comes out at 0.000 μB per formula unit. Its crystal system is orthorhombic. The calculation puts the raw total energy at -21.04 eV for the cell shown.

Cell lengths 3.506, 4.088, 8.725 Å; angles 90.00, 90.00, 90.00 degrees
Space group Pmm2 (No. 25)
Symmetry-distinct sites (fractional):
Sr 0.000 0.000 0.000
Ca 0.500 0.500 0.345
Zr 0.000 0.000 0.591
Zr 0.500 0.500 0.731

Record 20
Material: SrCaZr2
Method: DFT, PBEsol
State: optimized geometry

Output
The value obtained for the relative energy among the computed polymorphs is 0.221 eV per atom. The total magnetization comes out at 0.001 μB per formula unit. Its crystal system is orthorhombic. The calculation puts the raw total energy at -40.31 eV for the cell shown.

Cell lengths 3.312, 6.155, 11.775 Å; angles 90.00, 90.00, 90.00 degrees
Space group Imm2 (No. 44)
Symmetry-distinct sites (fractional):
Sr 0.000 0.000 0.000
Ca 0.000 0.500 0.216
Zr 0.000 0.000 0.460
Zr 0.000 0.500 0.764

| no. | ΔH_f (0 K) (meV per atom) | DOS(E_F) (states/eV/cell) | mass density (g cm⁻³) |
| --- | --- | --- | --- |
| 1 | -1 | 2.09 | 4.7 |
| 2 | -76 | 4.10 | 3.2 |
| 3 | -70 | 2.08 | 4.0 |
| 4 | -117 | 5.71 | 4.2 |
| 5 | -78 | 3.33 | 3.2 |
| 6 | -35 | 8.43 | 3.2 |
| 7 | -126 | 10.43 | 3.6 |
| 8 | 867 | 8.67 | 2.1 |
| 9 | -162 | 2.47 | 4.2 |
| 10 | 425 | 4.05 | 3.7 |
| 11 | 491 | 52.31 | 2.5 |
| 12 | 444 | 36.26 | 5.0 |
| 13 | 1114 | 29.49 | 2.8 |
| 14 | 568 | 13.37 | 4.6 |
| 15 | 524 | 23.23 | 3.5 |
| 16 | 357 | 4.81 | 3.4 |
| 17 | 496 | 13.52 | 3.4 |
| 18 | 306 | 4.86 | 3.1 |
| 19 | 278 | 5.45 | 4.1 |
| 20 | 499 | 12.37 | 4.3 |